Entry 1:
# TaAl2Cd (SCAN, PBEsol geometry)
# Energy relative to the elements in eV per atom: 0.049
# Total magnetic moment in μB per formula unit: 0.00
# Crystal system: tetragonal
data_TaAl2Cd
_chemical_formula_sum 'Ta1 Al2 Cd1'
_cell_length_a 4.856
_cell_length_b 4.856
_cell_length_c 2.925
_cell_angle_alpha 90.00
_cell_angle_beta 90.00
_cell_angle_gamma 90.00
_space_group_name_H-M_alt 'P 4/m m m'
_space_group_IT_number 123
_space_group_name_Hall '-P 4 2'
loop_
_atom_site_label
_atom_site_type_symbol
_atom_site_fract_x
_atom_site_fract_y
_atom_site_fract_z
_atom_site_occupancy
Ta1 Ta 0.000 0.000 0.000 1
Al1 Al 0.000 0.500 0.500 1
Cd1 Cd 0.500 0.500 0.000 1



Entry 2:
# TaAl2Cd (SCAN, PBEsol geometry)
# Energy relative to the elements in eV per atom: 0.099
# Total magnetic moment in μB per formula unit: 0.00
# Crystal system: orthorhombic
data_TaAl2Cd
_chemical_formula_sum 'Ta2 Al4 Cd2'
_cell_length_a 3.032
_cell_length_b 4.877
_cell_length_c 9.380
_cell_angle_alpha 90.00
_cell_angle_beta 90.00
_cell_angle_gamma 90.00
_space_group_name_H-M_alt 'I m m m'
_space_group_IT_number 71
_space_group_name_Hall '-I 2 2'
loop_
_atom_site_label
_atom_site_type_symbol
_atom_site_fract_x
_atom_site_fract_y
_atom_site_fract_z
_atom_site_occupancy
Ta1 Ta 0.000 0.000 0.000 1
Al1 Al 0.000 0.500 0.255 1
Cd1 Cd 0.000 0.000 0.500 1



Entry 3:
# Al2CdTc (SCAN, PBEsol geometry)
# Energy relative to the elements in eV per atom: -0.143
# Total magnetic moment in μB per formula unit: 0.80
# Crystal system: tetragonal
data_Al2CdTc
_chemical_formula_sum 'Al4 Cd2 Tc2'
_cell_length_a 3.929
_cell_length_b 3.929
_cell_length_c 8.054
_cell_angle_alpha 90.00
_cell_angle_beta 90.00
_cell_angle_gamma 90.00
_space_group_name_H-M_alt 'I 4/m m m'
_space_group_IT_number 139
_space_group_name_Hall '-I 4 2'
loop_
_atom_site_label
_atom_site_type_symbol
_atom_site_fract_x
_atom_site_fract_y
_atom_site_fract_z
_atom_site_occupancy
Al1 Al 0.000 0.500 0.250 1
Cd1 Cd 0.000 0.000 0.000 1
Tc1 Tc 0.000 0.000 0.500 1



> The lowest energy relative to the elements belongs to which entry?

Al2CdTc



Please write out number 1 again, unchanged.
# TaAl2Cd (SCAN, PBEsol geometry)
# Energy relative to the elements in eV per atom: 0.049
# Total magnetic moment in μB per formula unit: 0.00
# Crystal system: tetragonal
data_TaAl2Cd
_chemical_formula_sum 'Ta1 Al2 Cd1'
_cell_length_a 4.856
_cell_length_b 4.856
_cell_length_c 2.925
_cell_angle_alpha 90.00
_cell_angle_beta 90.00
_cell_angle_gamma 90.00
_space_group_name_H-M_alt 'P 4/m m m'
_space_group_IT_number 123
_space_group_name_Hall '-P 4 2'
loop_
_atom_site_label
_atom_site_type_symbol
_atom_site_fract_x
_atom_site_fract_y
_atom_site_fract_z
_atom_site_occupancy
Ta1 Ta 0.000 0.000 0.000 1
Al1 Al 0.000 0.500 0.500 1
Cd1 Cd 0.500 0.500 0.000 1



> Look up the total magnetic moment of the third one.

0.80 μB per formula unit